A plane-wave DFT calculation with GGA+U was carried out for crystalline Li4Mn5SnP6O24 at its relaxed geometry.

Cell: 8.974 9.072 8.438 Å, 60.34 59.57 58.05°
Site moments in Bohr magnetons follow the coordinates.
Sites, in units of the cell vectors:
P  0.922  0.545  0.263  0.02
P  0.538  0.250  0.962  0.01
P  0.234  0.959  0.592  0.01
P  0.773  0.040  0.413  0.01
P  0.455  0.761  0.037  0.01
P  0.094  0.461  0.752  0.01
Mn  0.891  0.974  0.058  4.64
Mn  0.642  0.695  0.628  4.66
Mn  0.515  0.502  0.491  4.68
Mn  0.846  0.843  0.830  4.66
Mn  0.340  0.320  0.348  4.65
Sn  0.149  0.141  0.167  0.01
O  0.568  0.308  0.086  0.02
O  0.313  0.084  0.573  0.02
O  0.098  0.528  0.275  0.02
O  0.851  0.735  0.121  0.04
O  0.960  0.395  0.192  0.01
O  0.765  0.525  0.462  0.03
O  0.722  0.102  0.887  0.04
O  0.473  0.410  0.795  0.02
O  0.901  0.901  0.535  0.02
O  0.393  0.776  0.557  0.03
O  0.901  0.126  0.200  0.01
O  0.560  0.892  0.898  0.02
O  0.382  0.169  0.116  0.01
O  0.097  0.910  0.801  0.03
O  0.607  0.198  0.490  0.02
O  0.123  0.060  0.450  0.01
O  0.546  0.595  0.188  0.01
O  0.252  0.873  0.157  0.01
O  0.238  0.475  0.540  0.03
O  0.090  0.597  0.811  0.02
O  0.184  0.254  0.873  0.00
O  0.898  0.498  0.771  0.01
O  0.717  0.927  0.376  0.03
O  0.439  0.694  0.912  0.01
Li  0.265  0.635  0.861  0.00
Li  0.740  0.403  0.051  0.00
Li  0.415  0.102  0.721  0.00
Li  0.104  0.714  0.384  0.00

Uncorrected energy   -285.4 eV per cell
Total magnetic moment   0.62 μB per atom
Calculated volume   477.82 Å³/cell